(1)
The following is a PBE calculation of an optimized crystal structure of Pm2Y6Ho3Mg, from the Alexandria database.

The structure in extended XYZ format:
```
12
Lattice="3.0717 -5.3251 0.0000 3.0717 5.3251 0.0000 -2.0633 0.0000 11.5876" Properties=species:S:1:pos:R:3 pbc="T T T"
Pm 3.0717 3.5539 0.0000
Pm 3.0717 -3.5539 0.0000
Y -0.0021 1.7642 8.6804
Y 1.0260 0.0000 2.9179
Y -0.0021 -1.7642 8.6804
Y 4.0821 1.7642 2.9072
Y 3.0540 0.0000 8.6697
Y 4.0821 -1.7642 2.9072
Ho -1.0316 0.0000 5.7938
Ho 2.0400 1.7624 5.7938
Ho 2.0400 -1.7624 5.7938
Mg 3.0717 0.0000 0.0000
```

Summary:
The calculation puts the total energy at -63.3 eV for the cell shown. Its space-group type is No. 12. As for the formation energy: 0.03 eV per atom. As for the density of states at the Fermi level: 18.6 states/eV per cell.

(2)
The following is a PBE calculation of an optimized crystal structure of Tl2HgS, from the Alexandria database.

The structure in extended XYZ format:
```
4
Lattice="2.1215 1.2248 8.6668 -2.1215 1.2248 8.6668 0.0000 -2.4497 8.6668" Properties=species:S:1:pos:R:3 pbc="T T T"
Tl 0.0000 0.0000 5.9792
Tl 0.0000 0.0000 20.0211
Hg 0.0000 0.0000 0.0000
S 0.0000 0.0000 13.0002
```

Summary:
The calculation puts the total energy at -10.1 eV for the cell shown. Its space-group type is No. 166. The formation energy without anion corrections comes out at -243.5 meV per atom. As for the density of states at the Fermi level: 0.4 states/eV per cell. The excess energy over the best structure of this formula in the dataset comes out at 5 meV per atom.

(3)
The following is a PBE calculation of an optimized crystal structure of NaMg2Ge, from the Alexandria database.

The structure in extended XYZ format:
```
8
Lattice="4.3169 0.0000 0.0000 0.0000 4.3169 0.0000 0.0000 0.0000 10.5136" Properties=species:S:1:pos:R:3 pbc="T T T"
Na 1.0792 1.0792 2.6159
Na 3.2377 3.2377 7.8977
Mg 1.0792 1.0792 9.6984
Mg 1.0792 3.2377 5.2568
Mg 3.2377 1.0792 5.2568
Mg 3.2377 3.2377 0.8152
Ge 1.0792 1.0792 6.9949
Ge 3.2377 3.2377 3.5187
```

Summary:
The calculation puts the total energy at -18.9 eV for the cell shown. Its space-group type is No. 129. As for the formation energy: -0.08 eV per atom. As for the density of states at the Fermi level: 5.3 states/eV per cell.